DFT (PBE+U) results for an optimized crystal structure of CrSbN2F.

Output
**Total moment**: 3.85 μB/f.u.
**N(E_F)**: 0.421 states/eV per atom
**Distance to the lowest polymorph of the same formula**: 0.3307 eV/atom

a b c (Å): 4.064 4.064 4.130
angles (deg): 90.00 90.00 90.00
Space group P4/mmm (No. 123)
Unique sites:
Cr (0.000, 0.000, 0.000) x1
Sb (0.500, 0.500, 0.500) x1
N (0.000, 0.500, 0.500) x2
F (0.500, 0.500, 0.000) x1